First-principles (PBE+U) data for a geometry-optimized ErCrHO5 structure, as listed in the Alexandria database.

a b c (Å): 8.225 11.572 11.223
angles (deg): 90.00 132.82 90.00
Space group P2_1/c (No. 14)
Symmetry-distinct sites (fractional):
Er 0.214 0.060 0.348 (multiplicity 4)
Er 0.265 0.573 0.180 (multiplicity 4)
Cr 0.130 0.170 0.998 (multiplicity 4)
Cr 0.408 0.691 0.541 (multiplicity 4)
H 0.041 0.114 0.661 (multiplicity 4)
H 0.452 0.574 0.810 (multiplicity 4)
O 0.031 0.544 0.903 (multiplicity 4)
O 0.061 0.588 0.663 (multiplicity 4)
O 0.096 0.189 0.440 (multiplicity 4)
O 0.119 0.162 0.139 (multiplicity 4)
O 0.220 0.622 0.362 (multiplicity 4)
O 0.295 0.749 0.105 (multiplicity 4)
O 0.378 0.124 0.083 (multiplicity 4)
O 0.401 0.098 0.818 (multiplicity 4)
O 0.480 0.203 0.480 (multiplicity 4)
O 0.481 0.005 0.623 (multiplicity 4)

For the spin magnetization, the calculation gives 0.00 μB per cell. For the mass density, the calculation gives 5.1 g/cm³. The volume comes out at 12.24 Å³/atom. The total energy comes out at -7.005 eV per atom.